1.
Computed, not measured: an optimized crystal structure of Co3Pt2 at the GGA-PBE level of DFT.

a b c (Å): 5.000 5.000 6.791
angles (deg): 80.75 80.75 124.29
Element x y z (fractional)
Pt 0.104 0.536 0.103
Co 0.791 0.291 0.500
Co 0.217 0.798 0.701
Co 0.041 0.041 0.000
Co 0.669 0.749 0.799
Co 0.499 0.919 0.299
Co 0.548 0.467 0.201
Pt 0.286 0.354 0.603
Pt 0.638 0.207 0.897
Pt 0.957 0.888 0.397

Computed properties:
Total moment, μB/atom: 1.2698
V, Å³/atom: 13.169
Energy above the most stable polymorph in this dataset, meV per atom: 0
Formation energy, eV per atom: -0.014

2.
Computed, not measured: an optimized crystal structure of Te2SF at the GGA-PBE level of DFT.

a b c (Å): 4.823 4.823 4.823
angles (deg): 60.00 60.00 60.00
Element x y z (fractional)
Te 0.750 0.750 0.750
Te 0.250 0.250 0.250
F 0.000 0.000 0.000
S 0.500 0.500 0.500

Computed properties:
Total moment, μB/atom: 0.0000
V, Å³/atom: 19.838
Formation energy without anion corrections, eV per atom: -0.04
Energy above the most stable polymorph in this dataset, meV per atom: 425

3.
Computed, not measured: an optimized crystal structure of HfW3Cl at the GGA-PBE level of DFT.

a b c (Å): 4.908 4.908 4.908
angles (deg): 90.00 90.00 90.00
Element x y z (fractional)
W 0.000 0.000 0.500
W 0.500 0.000 0.000
W 0.000 0.500 0.000
Hf 0.000 0.000 0.000
Cl 0.500 0.500 0.500

Computed properties:
Total moment, μB/atom: 0.0000
V, Å³/atom: 23.649
Formation energy without anion corrections, eV per atom: 2.84
Energy above the most stable polymorph in this dataset, meV per atom: 1625